Arrangement A

A relaxed structure of TlCdP2, computed with GGA-PBE.

Computed properties:
Volume   87.50 Å³ per cell

a b c (Å): 3.2413 3.2413 8.3281
angles (deg): 90.00 90.00 90.00
With the nearest neighbours (Å) after each atom.
Space group P4mm (No. 99)
Unique sites:
Tl: 0.0000 0.0000 0.0000  4 Tl 3.24, 5 P 3.37-3.50, 4 Cd 3.50
Cd: 0.5000 0.5000 0.3182  5 P 3.03-3.25, 4 Cd 3.24
P: 0.0000 0.0000 0.5951  4 P 2.40
P: 0.5000 0.5000 0.6822  4 P 2.40



Arrangement B

A relaxed structure of TlCdP2, computed with GGA-PBE.

Computed properties:
Volume   84.21 Å³ per cell

a b c (Å): 5.2207 5.2207 3.0897
angles (deg): 90.00 90.00 90.00
With the nearest neighbours (Å) after each atom.
Space group P4/mmm (No. 123)
Unique sites:
Tl: 0.0000 0.0000 0.0000  8 P 3.03, 2 Tl 3.09
Cd: 0.5000 0.5000 0.0000  8 P 3.03, 2 Cd 3.09
P: 0.0000 0.5000 0.5000  4 Cd 3.03, 4 Tl 3.03, 2 P 3.09



Arrangement C

A relaxed structure of TlCdP2, computed with GGA-PBE.

Computed properties:
Volume   86.67 Å³ per cell

a b c (Å): 3.9251 3.9779 5.5512
angles (deg): 90.00 90.00 90.00
With the nearest neighbours (Å) after each atom.
Space group Pmmm (No. 47)
Unique sites:
Tl: 0.0000 0.0000 0.0000  4 P 2.79
Cd: 0.0000 0.5000 0.5000  4 P 2.79
P: 0.5000 0.0000 0.5000  4 Cd 2.79
P: 0.5000 0.5000 0.0000  4 Tl 2.79



Arrangement D

A relaxed structure of TlCdP2, computed with GGA-PBE.

Computed properties:
Volume   175.15 Å³ per cell

a b c (Å): 8.0467 7.8235 2.8708
angles (deg): 90.00 104.27 90.00
With the nearest neighbours (Å) after each atom.
Space group C2/m (No. 12)
Unique sites:
Tl: 0.0000 0.0000 0.0000  4 P 2.81, 2 Tl 2.87
Cd: 0.0000 0.5000 0.0000  4 P 2.81, 2 Cd 2.87
P: 0.2500 0.2500 0.0000  2 Cd 2.81, 2 Tl 2.81, 2 P 2.87



Result of the stability comparison: arrangement A is the most stable of them.



Arrangement A

A relaxed structure of TlCdP2, computed with GGA-PBE.

Computed properties:
Volume   88.92 Å³ per cell

a b c (Å): 3.8202 3.8202 7.0355
angles (deg): 90.00 90.00 120.00
With the nearest neighbours (Å) after each atom.
Space group P-3m1 (No. 164)
Unique sites:
Tl: 0.0000 0.0000 0.0000  6 P 2.89
Cd: 0.0000 0.0000 0.5000  6 P 2.75
P: 0.3333 0.6667 0.2663  3 Cd 2.75, 3 Tl 2.89



Arrangement B

A relaxed structure of TlCdP2, computed with GGA-PBE.

Computed properties:
Volume   202.82 Å³ per cell

a b c (Å): 11.0623 3.2286 5.8356
angles (deg): 90.00 103.32 90.00
With the nearest neighbours (Å) after each atom.
Space group C2/m (No. 12)
Unique sites:
Tl: 0.0000 0.0000 0.0000  2 Tl 3.23, 4 Cd 3.33, 4 P 3.50
Cd: 0.0000 0.5000 0.5000  6 P 3.04-3.13, 2 Cd 3.23, 4 Tl 3.33
P: 0.2489 0.0000 0.6270  2 P 2.20



Result of the stability comparison: arrangement B is the most stable of them.



Arrangement A

A relaxed structure of TlCdP2, computed with GGA-PBE.

Computed properties:
Volume   336.94 Å³ per cell

a b c (Å): 6.9585 6.9585 6.9585
angles (deg): 90.00 90.00 90.00
With the nearest neighbours (Å) after each atom.
Space group Fm-3m (No. 225)
Unique sites:
Tl: 0.0000 0.0000 0.0000  8 P 3.01
Cd: 0.0000 0.0000 0.5000  8 P 3.01
P: 0.2500 0.2500 0.2500  4 Cd 3.01, 4 Tl 3.01



Arrangement B

A relaxed structure of TlCdP2, computed with GGA-PBE.

Computed properties:
Volume   100.57 Å³ per cell

a b c (Å): 4.5652 3.8759 5.9243
angles (deg): 90.00 106.38 90.00
With the nearest neighbours (Å) after each atom.
Space group P2/m (No. 10)
Unique sites:
Tl: 0.0000 0.0000 0.0000  4 P 3.12, 2 Cd 3.19
Cd: 0.5000 0.0000 0.5000  4 P 2.70
P: 0.1912 0.5000 0.6531  1 P 2.13



Result of the stability comparison: arrangement B is the most stable of them.